Here is Sr2ScMn after structural relaxation from Alexandria via LeMat-Bulk. Energies are from GGA-PBE.

The value obtained for the distance to the lowest polymorph of the same formula is 0.3030 eV per atom. The formation energy comes out at 597 meV per atom.

Cell: 5.1390 5.1390 10.0309 Å, 90.00 90.00 90.00°
With the nearest neighbours (Å) after each atom.
Space group I4/mmm (No. 139)
One atom of each set of equivalent atoms:
Sr  0.0000  0.5000  0.2500 [4 per cell]  4 Mn 3.59, 4 Sc 3.59, 4 Sr 3.63
Sc  0.0000  0.0000  0.0000 [2 per cell]  8 Sr 3.59, 4 Mn 3.63
Mn  0.0000  0.0000  0.5000 [2 per cell]  8 Sr 3.59, 4 Sc 3.63

=====

Here is TlAgS2 after structural relaxation from Alexandria via LeMat-Bulk. Energies are from GGA-PBE.

The value obtained for the formation energy from raw total energies is 31 meV/atom.

Cell: 6.6404 7.7213 6.7686 Å, 90.00 90.00 90.00°
With the nearest neighbours (Å) after each atom.
Space group Pbcn (No. 60)
One atom of each set of equivalent atoms:
Tl  0.0000  0.1278  0.2500 [4 per cell]  6 S 2.78-2.80
Ag  0.0000  0.3713  0.7500 [4 per cell]  6 S 2.77-2.82
S  0.2471  0.3812  0.0811 [8 per cell]  3 Ag 2.77-2.82, 3 Tl 2.78-2.80

=====

Here is Ac3Pr4Rh4 after structural relaxation from Alexandria via LeMat-Bulk. Energies are from GGA-PBE.

The formation energy comes out at -473 meV per atom.

Cell: 4.1026 9.2054 16.6574 Å, 90.00 90.00 90.00°
With the nearest neighbours (Å) after each atom.
Space group Immm (No. 71)
One atom of each set of equivalent atoms:
Ac  0.0000  0.0000  0.0000 [2 per cell]  4 Rh 3.22
Ac  0.0000  0.5000  0.1022 [4 per cell]  6 Rh 3.20-3.41, 1 Ac 3.41
Pr  0.0000  0.3129  0.3317 [8 per cell]  4 Rh 2.90-3.18
Rh  0.0000  0.0000  0.2506 [4 per cell]  6 Pr 3.01-3.18, 2 Ac 3.20
Rh  0.0000  0.2310  0.5000 [4 per cell]  2 Pr 2.90, 2 Ac 3.22

=====

DOS(E_F) for the records above, in order: 1.8955, 0.3412, 0.6786 states/eV/atom
Magnetization for the records above, in order: 0.606, 0.000, 0.000 μB per atom
E for the records above, in order: -4.12, -3.34, -6.00 eV per atom